1.
Compound: DyZnRh
Source: the Alexandria database
Functional: PBE
Structure: relaxed

a = 6.9423 Å, b = 4.0563 Å, c = 8.0901 Å
α = 90.00°, β = 90.00°, γ = 90.00°
Space group Pnma (No. 62)
Inequivalent atoms, fractional coordinates:
Dy: 0.0389 0.2500 0.1840
Zn: 0.1375 0.2500 0.5639
Rh: 0.2439 0.7500 0.3774

Summary:
The total magnetization is 0.000 μB/cell. The value obtained for the energy relative to the elements is -0.738 eV per atom. The density of states at the Fermi level is 4.31 states/eV per cell. As for the mass density: 9.64 g/cm³. Its energy is -5.147 eV/atom.

---

2.
Compound: Dy8Zn2Rh
Source: the Alexandria database
Functional: PBE
Structure: relaxed

a = 17.4543 Å, b = 5.1033 Å, c = 6.7015 Å
α = 90.00°, β = 104.19°, γ = 90.00°
Space group C2/m (No. 12)
Inequivalent atoms, fractional coordinates:
Dy: 0.0279 0.0000 0.2812
Dy: 0.0895 0.5000 0.9390
Dy: 0.1578 0.5000 0.4639
Dy: 0.2012 0.0000 0.8165
Zn: 0.1907 0.0000 0.2331
Rh: 0.0000 0.5000 0.5000

Summary:
The total magnetization is 0.000 μB/cell. The value obtained for the energy relative to the elements is -0.265 eV per atom. The density of states at the Fermi level is 17.94 states/eV per cell. The energy above the most stable polymorph in this dataset is 0.00 eV/f.u. As for the mass density: 8.80 g/cm³. Its energy is -4.512 eV/atom.